Model w:
Compound: ThPtSe
Source: the Alexandria database
Functional: PBE-GGA
Structure: relaxed

Unit cell a=4.6540 b=4.6540 c=24.1954 alpha=90.00 beta=90.00 gamma=120.00
Space group R-3m (No. 166, hexagonal axes)
Inequivalent atoms, fractional coordinates:
Th  0.0000  0.0000  0.0751 [6 per cell]
Pt  0.0000  0.0000  0.3332 [6 per cell]
Se  0.0000  0.0000  0.2074 [6 per cell]

Results
Mass density: 11.11 g/cm3

Model x:
Compound: ThPtSe
Source: the Alexandria database
Functional: PBE-GGA
Structure: relaxed

Unit cell a=4.0533 b=4.0533 c=8.6053 alpha=90.00 beta=90.00 gamma=90.00
Space group P4/nmm (No. 129, origin choice 2)
Inequivalent atoms, fractional coordinates:
Th  0.2500  0.2500  0.2478 [2 per cell]
Pt  0.2500  0.7500  0.5000 [2 per cell]
Se  0.2500  0.2500  0.8751 [2 per cell]

Results
Mass density: 11.89 g/cm3

How do the energies compare? Relative to the most stable structure, in meV per atom: model w 187; model x 0.

Model w:
Compound: TiPt3Se
Source: the Alexandria database
Functional: PBE-GGA
Structure: relaxed

Unit cell a=4.6692 b=4.6692 c=4.6692 alpha=90.00 beta=90.00 gamma=90.00
Space group Pm-3m (No. 221)
Inequivalent atoms, fractional coordinates:
Ti  0.0000  0.0000  0.0000 [1 per cell]
Pt  0.0000  0.5000  0.5000 [3 per cell]
Se  0.5000  0.5000  0.5000 [1 per cell]

Results
Mass density: 11.62 g/cm3

Model x:
Compound: TiPt3Se
Source: the Alexandria database
Functional: PBE-GGA
Structure: relaxed

Unit cell a=4.7148 b=4.7148 c=4.7148 alpha=90.00 beta=90.00 gamma=90.00
Space group Pm-3m (No. 221)
Inequivalent atoms, fractional coordinates:
Ti  0.0000  0.0000  0.0000 [1 per cell]
Pt  0.0000  0.0000  0.5000 [3 per cell]
Se  0.5000  0.5000  0.5000 [1 per cell]

Results
Mass density: 11.28 g/cm3

How do the energies compare? Relative to the most stable structure, in meV per atom: model w 0; model x 220.

Model w:
Compound: TlPt2Se3
Source: the Alexandria database
Functional: PBE-GGA
Structure: relaxed

Unit cell a=7.5608 b=7.5608 c=6.0438 alpha=90.00 beta=90.00 gamma=120.00
Space group P-3m1 (No. 164)
Inequivalent atoms, fractional coordinates:
Tl  0.3333  0.6667  0.3464 [2 per cell]
Pt  0.0000  0.0000  0.0000 [1 per cell]
Pt  0.0000  0.5000  0.0000 [3 per cell]
Se  0.1698  0.3396  0.7941 [6 per cell]

Results
Mass density: 9.23 g/cm3

Model x:
Compound: TlPt2Se3
Source: the Alexandria database
Functional: PBE-GGA
Structure: relaxed

Unit cell a=7.5183 b=7.5183 c=18.8266 alpha=90.00 beta=90.00 gamma=120.00
Space group R-3m (No. 166, hexagonal axes)
Inequivalent atoms, fractional coordinates:
Tl  0.0000  0.0000  0.2195 [6 per cell]
Pt  0.0000  0.0000  0.0000 [3 per cell]
Pt  0.0000  0.5000  0.0000 [9 per cell]
Se  0.0059  0.5030  0.2665 [18 per cell]

Results
Mass density: 8.99 g/cm3

How do the energies compare? Relative to the most stable structure, in meV per atom: model w 0; model x 6.

Model w:
Compound: Tl2PtSe
Source: the Alexandria database
Functional: PBE-GGA
Structure: relaxed

Unit cell a=15.6029 b=3.5314 c=3.9714 alpha=90.00 beta=104.50 gamma=90.00
Space group C2/m (No. 12)
Inequivalent atoms, fractional coordinates:
Tl  0.1664  0.0000  0.1647 [4 per cell]
Pt  0.0000  0.5000  0.0000 [2 per cell]
Se  0.0000  0.0000  0.5000 [2 per cell]

Results
Mass density: 10.70 g/cm3

Model x:
Compound: Tl2PtSe
Source: the Alexandria database
Functional: PBE-GGA
Structure: relaxed

Unit cell a=3.4535 b=5.9413 c=10.0206 alpha=90.00 beta=90.00 gamma=90.00
Space group Imm2 (No. 44)
Inequivalent atoms, fractional coordinates:
Tl  0.0000  0.0000  0.0000 [2 per cell]
Tl  0.0000  0.5000  0.2076 [2 per cell]
Pt  0.0000  0.5000  0.7403 [2 per cell]
Se  0.0000  0.0000  0.4115 [2 per cell]

Results
Mass density: 11.03 g/cm3

How do the energies compare? Relative to the most stable structure, in meV per atom: model w 0; model x 49.

Model w:
Compound: Tl2PtSe
Source: the Alexandria database
Functional: PBE-GGA
Structure: relaxed

Unit cell a=7.2106 b=7.2106 c=7.2106 alpha=90.00 beta=90.00 gamma=90.00
Space group Fm-3m (No. 225)
Inequivalent atoms, fractional coordinates:
Tl  0.2500  0.2500  0.2500 [8 per cell]
Pt  0.0000  0.0000  0.0000 [4 per cell]
Se  0.0000  0.0000  0.5000 [4 per cell]

Results
Mass density: 12.10 g/cm3

Model x:
Compound: Tl2PtSe
Source: the Alexandria database
Functional: PBE-GGA
Structure: relaxed

Unit cell a=6.1623 b=6.1623 c=13.8944 alpha=90.00 beta=90.00 gamma=90.00
Space group I-42d (No. 122)
Inequivalent atoms, fractional coordinates:
Tl  0.2208  0.2500  0.1250 [8 per cell]
Pt  0.0000  0.0000  0.0000 [4 per cell]
Se  0.0000  0.0000  0.5000 [4 per cell]

Results
Mass density: 8.60 g/cm3

How do the energies compare? Relative to the most stable structure, in meV per atom: model w 188; model x 0.

Model w:
Compound: TlPtSe2
Source: the Alexandria database
Functional: PBE-GGA
Structure: relaxed

Unit cell a=3.3484 b=3.3484 c=9.7530 alpha=90.00 beta=90.00 gamma=90.00
Space group P4mm (No. 99)
Inequivalent atoms, fractional coordinates:
Tl  0.0000  0.0000  0.0000 [1 per cell]
Pt  0.5000  0.5000  0.3346 [1 per cell]
Se  0.0000  0.0000  0.4197 [1 per cell]
Se  0.5000  0.5000  0.7806 [1 per cell]

Results
Mass density: 8.46 g/cm3

Model x:
Compound: TlPtSe2
Source: the Alexandria database
Functional: PBE-GGA
Structure: relaxed

Unit cell a=6.9265 b=6.9265 c=6.9265 alpha=90.00 beta=90.00 gamma=90.00
Space group F-43m (No. 216)
Inequivalent atoms, fractional coordinates:
Tl  0.0000  0.0000  0.0000 [4 per cell]
Pt  0.2500  0.2500  0.2500 [4 per cell]
Se  0.0000  0.0000  0.5000 [4 per cell]
Se  0.2500  0.2500  0.7500 [4 per cell]

Results
Mass density: 11.14 g/cm3

Model y:
Compound: TlPtSe2
Source: the Alexandria database
Functional: PBE-GGA
Structure: relaxed

Unit cell a=3.8584 b=3.8584 c=22.5515 alpha=90.00 beta=90.00 gamma=120.00
Space group R-3m (No. 166, hexagonal axes)
Inequivalent atoms, fractional coordinates:
Tl  0.0000  0.0000  0.0000 [3 per cell]
Pt  0.0000  0.0000  0.5000 [3 per cell]
Se  0.0000  0.0000  0.2243 [6 per cell]

Results
Mass density: 9.55 g/cm3

How do the energies compare? Relative to the most stable structure, in meV per atom: model w 380; model x 744; model y 0.

Model w:
Compound: TlPtSe2
Source: the Alexandria database
Functional: PBE-GGA
Structure: relaxed

Unit cell a=6.9573 b=6.9573 c=6.9573 alpha=90.00 beta=90.00 gamma=90.00
Space group Fm-3m (No. 225)
Inequivalent atoms, fractional coordinates:
Tl  0.0000  0.0000  0.0000 [4 per cell]
Pt  0.0000  0.0000  0.5000 [4 per cell]
Se  0.2500  0.2500  0.2500 [8 per cell]

Results
Mass density: 10.99 g/cm3

Model x:
Compound: TlPtSe2
Source: the Alexandria database
Functional: PBE-GGA
Structure: relaxed

Unit cell a=5.3437 b=3.7390 c=5.3735 alpha=90.00 beta=110.95 gamma=90.00
Space group P2/m (No. 10)
Inequivalent atoms, fractional coordinates:
Tl  0.0000  0.0000  0.0000 [1 per cell]
Pt  0.5000  0.0000  0.5000 [1 per cell]
Se  0.3140  0.5000  0.6848 [2 per cell]

Results
Mass density: 9.23 g/cm3

How do the energies compare? Relative to the most stable structure, in meV per atom: model w 740; model x 0.

Model w:
Compound: Tm2PtSe
Source: the Alexandria database
Functional: PBE-GGA
Structure: relaxed

Unit cell a=3.9580 b=3.9580 c=21.0570 alpha=90.00 beta=90.00 gamma=120.00
Space group R-3m (No. 166, hexagonal axes)
Inequivalent atoms, fractional coordinates:
Tm  0.0000  0.0000  0.2434 [6 per cell]
Pt  0.0000  0.0000  0.5000 [3 per cell]
Se  0.0000  0.0000  0.0000 [3 per cell]

Results
Mass density: 10.67 g/cm3

Model x:
Compound: Tm2PtSe
Source: the Alexandria database
Functional: PBE-GGA
Structure: relaxed

Unit cell a=3.9970 b=3.9970 c=21.0418 alpha=90.00 beta=90.00 gamma=120.00
Space group R3m (No. 160, hexagonal axes)
Inequivalent atoms, fractional coordinates:
Tm  0.0000  0.0000  0.0000 [3 per cell]
Tm  0.0000  0.0000  0.1855 [3 per cell]
Pt  0.0000  0.0000  0.5929 [3 per cell]
Se  0.0000  0.0000  0.7606 [3 per cell]

Results
Mass density: 10.47 g/cm3

How do the energies compare? Relative to the most stable structure, in meV per atom: model w 0; model x 29.

Model w:
Compound: UPtSe4
Source: the Alexandria database
Functional: PBE-GGA
Structure: relaxed

Unit cell a=5.9327 b=3.9221 c=6.7018 alpha=90.00 beta=94.86 gamma=90.00
Space group P2/m (No. 10)
Inequivalent atoms, fractional coordinates:
U  0.0000  0.0000  0.0000 [1 per cell]
Pt  0.5000  0.5000  0.0000 [1 per cell]
Se  0.1714  0.5000  0.2586 [2 per cell]
Se  0.3530  0.0000  0.7687 [2 per cell]

Results
Mass density: 8.00 g/cm3

Model x:
Compound: UPtSe4
Source: the Alexandria database
Functional: PBE-GGA
Structure: relaxed

Unit cell a=6.7408 b=6.5337 c=6.5889 alpha=90.00 beta=98.12 gamma=90.00
Space group P2_1/c (No. 14)
Inequivalent atoms, fractional coordinates:
U  0.0000  0.0000  0.0000 [2 per cell]
Pt  0.5000  0.0000  0.5000 [2 per cell]
Se  0.1861  0.1719  0.3654 [4 per cell]
Se  0.3103  0.7176  0.2586 [4 per cell]

Results
Mass density: 8.66 g/cm3

How do the energies compare? Relative to the most stable structure, in meV per atom: model w 0; model x 162.

Model w:
Compound: VPtSe4
Source: the Alexandria database
Functional: PBE-GGA
Structure: relaxed

Unit cell a=5.9141 b=3.5997 c=6.3253 alpha=90.00 beta=90.13 gamma=90.00
Space group P2/m (No. 10)
Inequivalent atoms, fractional coordinates:
V  0.0000  0.0000  0.0000 [1 per cell]
Pt  0.0000  0.5000  0.5000 [1 per cell]
Se  0.2392  0.0000  0.3310 [2 per cell]
Se  0.2445  0.5000  0.8339 [2 per cell]

Results
Mass density: 6.93 g/cm3

Model x:
Compound: VPtSe4
Source: the Alexandria database
Functional: PBE-GGA
Structure: relaxed

Unit cell a=3.5991 b=5.9568 c=6.8111 alpha=80.69 beta=74.88 gamma=89.99
Space group P1 (No. 1)
Inequivalent atoms, fractional coordinates:
V  0.0000  0.0000  0.0000 [1 per cell]
Pt  0.4948  0.5800  0.0103 [1 per cell]
Se  0.0943  0.4209  0.8087 [1 per cell]
Se  0.3983  0.1745  0.2060 [1 per cell]
Se  0.6249  0.9528  0.7465 [1 per cell]
Se  0.8694  0.6745  0.2646 [1 per cell]

Results
Mass density: 6.71 g/cm3

How do the energies compare? Relative to the most stable structure, in meV per atom: model w 39; model x 0.

Model w:
Compound: PtWSe2
Source: the Alexandria database
Functional: PBE-GGA
Structure: relaxed

Unit cell a=3.3899 b=3.3899 c=24.1803 alpha=90.00 beta=90.00 gamma=120.00
Space group R-3m (No. 166, hexagonal axes)
Inequivalent atoms, fractional coordinates:
Pt  0.0000  0.0000  0.0000 [3 per cell]
W  0.0000  0.0000  0.5000 [3 per cell]
Se  0.0000  0.0000  0.4003 [6 per cell]

Results
Mass density: 11.11 g/cm3

Model x:
Compound: PtWSe2
Source: the Alexandria database
Functional: PBE-GGA
Structure: relaxed

Unit cell a=6.2637 b=8.4190 c=2.7348 alpha=90.00 beta=90.00 gamma=90.00
Space group Cmmm (No. 65)
Inequivalent atoms, fractional coordinates:
Pt  0.0000  0.0000  0.0000 [2 per cell]
W  0.0000  0.5000  0.0000 [2 per cell]
Se  0.2500  0.2500  0.0000 [4 per cell]

Results
Mass density: 12.36 g/cm3

How do the energies compare? Relative to the most stable structure, in meV per atom: model w 153; model x 0.

Model w:
Compound: Pt3WSe
Source: the Alexandria database
Functional: PBE-GGA
Structure: relaxed

Unit cell a=4.8603 b=4.8603 c=4.8603 alpha=90.00 beta=90.00 gamma=90.00
Space group Pm-3m (No. 221)
Inequivalent atoms, fractional coordinates:
Pt  0.0000  0.0000  0.5000 [3 per cell]
W  0.0000  0.0000  0.0000 [1 per cell]
Se  0.5000  0.5000  0.5000 [1 per cell]

Results
Mass density: 12.27 g/cm3

Model x:
Compound: Pt3WSe
Source: the Alexandria database
Functional: PBE-GGA
Structure: relaxed

Unit cell a=4.6482 b=4.6482 c=4.6482 alpha=90.00 beta=90.00 gamma=90.00
Space group Pm-3m (No. 221)
Inequivalent atoms, fractional coordinates:
Pt  0.0000  0.0000  0.5000 [3 per cell]
W  0.5000  0.5000  0.5000 [1 per cell]
Se  0.0000  0.0000  0.0000 [1 per cell]

Results
Mass density: 14.02 g/cm3

How do the energies compare? Relative to the most stable structure, in meV per atom: model w 83; model x 0.